[1]
CaBe2In after structural relaxation. Source: Alexandria via LeMat-Bulk, functional GGA-PBE.

Summary:
Space group: P4mm
DFT formation energy (eV/f.u.): 1.0

Structure (POSCAR):
```
CaBe2In
1.0
3.1356 0.0000 0.0000
0.0000 3.1356 0.0000
0.0000 0.0000 7.2510
Ca Be In
1 2 1
Direct
0.0000 0.0000 0.0000
0.0000 0.0000 0.6004
0.5000 0.5000 0.7111
0.5000 0.5000 0.3456
```

=====

[2]
CaMn2BeIn after structural relaxation. Source: Alexandria via LeMat-Bulk, functional GGA-PBE.

Summary:
Space group: P4/mmm
DFT formation energy (eV/f.u.): 6.3

Structure (POSCAR):
```
CaMn2BeIn
1.0
5.0712 0.0000 0.0000
0.0000 5.0712 0.0000
0.0000 0.0000 5.8075
Ca Mn Be In
1 2 1 1
Direct
0.0000 0.0000 0.0000
0.0000 0.5000 0.5000
0.5000 0.0000 0.5000
0.5000 0.5000 0.0000
0.0000 0.0000 0.5000
```

=====

[3]
CaMnBeIn2 after structural relaxation. Source: Alexandria via LeMat-Bulk, functional GGA-PBE.

Summary:
Space group: P4/mmm
DFT formation energy (eV/f.u.): 1.0

Structure (POSCAR):
```
CaMnBeIn2
1.0
4.8646 0.0000 0.0000
0.0000 4.8646 0.0000
0.0000 0.0000 4.5876
Ca Mn Be In
1 1 1 2
Direct
0.0000 0.0000 0.0000
0.5000 0.5000 0.0000
0.5000 0.5000 0.5000
0.0000 0.5000 0.5000
0.5000 0.0000 0.5000
```

=====

[4]
NaCa2BeIn after structural relaxation. Source: Alexandria via LeMat-Bulk, functional GGA-PBE.

Summary:
Space group: P4/mmm
DFT formation energy (eV/f.u.): 3.3
ΔE to the lowest computed polymorph (eV/atom): 0.000

Structure (POSCAR):
```
NaCa2BeIn
1.0
5.7780 0.0000 0.0000
0.0000 5.7780 0.0000
0.0000 0.0000 4.6026
Na Ca Be In
1 2 1 1
Direct
0.0000 0.0000 0.0000
0.0000 0.5000 0.0000
0.5000 0.0000 0.0000
0.0000 0.0000 0.5000
0.5000 0.5000 0.5000
```

=====

[5]
NaCa2BeIn after structural relaxation. Source: Alexandria via LeMat-Bulk, functional GGA-PBE.

Summary:
Space group: P4/mmm
DFT formation energy (eV/f.u.): 4.4
ΔE to the lowest computed polymorph (eV/atom): 0.212

Structure (POSCAR):
```
NaCa2BeIn
1.0
5.7455 0.0000 0.0000
0.0000 5.7455 0.0000
0.0000 0.0000 5.1716
Na Ca Be In
1 2 1 1
Direct
0.0000 0.0000 0.0000
0.0000 0.5000 0.0000
0.5000 0.0000 0.0000
0.5000 0.5000 0.5000
0.0000 0.0000 0.5000
```

=====

[6]
Ca2Be2InO6 after structural relaxation. Source: Alexandria via LeMat-Bulk, functional GGA-PBE.

Summary:
Space group: R-3m
Formation energy (no corrections) (meV per atom): -2212

Structure (POSCAR):
```
Ca2Be2InO6
1.0
2.6841 1.5497 5.5501
-2.6841 1.5497 5.5501
0.0000 -3.0993 5.5501
Ca Be In O
2 2 1 6
Direct
0.1999 0.1999 0.1999
0.8001 0.8001 0.8001
0.4206 0.4206 0.4206
0.5794 0.5794 0.5794
0.0000 0.0000 0.0000
0.2483 0.7410 0.7410
0.2590 0.2590 0.7517
0.2590 0.7517 0.2590
0.7410 0.2483 0.7410
0.7410 0.7410 0.2483
0.7517 0.2590 0.2590
```

=====

[7]
Ca2BeInO5 after structural relaxation. Source: Alexandria via LeMat-Bulk, functional GGA-PBE.

Summary:
Space group: Cmc2_1
Formation energy (no corrections) (meV per atom): -2209

Structure (POSCAR):
```
Ca2BeInO5
1.0
1.6197 -6.6800 0.0000
1.6197 6.6800 0.0000
0.0000 0.0000 10.0500
Ca Be In O
4 2 2 10
Direct
0.0981 0.9019 0.5000
0.1376 0.8624 0.1768
0.8624 0.1376 0.6768
0.9019 0.0981 0.0000
0.4632 0.5368 0.2418
0.5368 0.4632 0.7418
0.1790 0.8210 0.8577
0.8210 0.1790 0.3577
0.0183 0.9817 0.8134
0.3180 0.6820 0.5095
0.3362 0.6638 0.8482
0.3416 0.6584 0.2046
0.4866 0.5134 0.5950
0.5134 0.4866 0.0950
0.6584 0.3416 0.7046
0.6638 0.3362 0.3482
0.6820 0.3180 0.0095
0.9817 0.0183 0.3134
```

=====

[8]
CaBe2InOs after structural relaxation. Source: Alexandria via LeMat-Bulk, functional GGA-PBE.

Summary:
Space group: P4/mmm
DFT formation energy (eV/f.u.): 0.8

Structure (POSCAR):
```
CaBe2InOs
1.0
4.4669 0.0000 0.0000
0.0000 4.4669 0.0000
0.0000 0.0000 5.0288
Ca Be In Os
1 2 1 1
Direct
0.0000 0.0000 0.0000
0.0000 0.5000 0.5000
0.5000 0.0000 0.5000
0.5000 0.5000 0.0000
0.5000 0.5000 0.5000
```

=====

| no. | energy (eV/atom) |
| --- | --- |
| 1 | -2.7947 |
| 2 | -4.1077 |
| 3 | -3.8782 |
| 4 | -1.6965 |
| 5 | -1.4846 |
| 6 | -6.2068 |
| 7 | -6.1268 |
| 8 | -4.5199 |